A plane-wave DFT calculation with PBE was carried out for a geometry-optimized Tl2CdInF6 structure.

The structure in extended XYZ format:
```
20
Lattice="6.4026 0.0000 0.0000 0.0000 9.0619 0.0000 0.0000 0.0000 6.4099" Properties=species:S:1:pos:R:3 pbc="T T T"
Tl 1.6006 0.0050 1.5877
Tl 1.6006 4.5260 1.5877
Tl 4.8019 4.5359 4.8222
Tl 4.8019 9.0569 4.8222
Cd 1.6006 2.2655 4.8026
Cd 4.8019 6.7964 1.6073
In 1.6006 6.7964 4.8076
In 4.8019 2.2655 1.6023
F 0.0338 6.7964 3.2478
F 0.0353 6.7964 6.3728
F 1.6006 4.5840 4.8269
F 1.6006 9.0088 4.8269
F 3.1659 6.7964 6.3728
F 3.1674 6.7964 3.2478
F 3.2351 2.2655 3.1621
F 3.2366 2.2655 0.0371
F 4.8019 0.0531 1.5830
F 4.8019 4.4778 1.5830
F 6.3672 2.2655 0.0371
F 6.3687 2.2655 3.1621
```

Summary:
The space group is Pmmn (59). The value obtained for the formation energy without anion corrections is -1.9884 eV per atom.

=====

A plane-wave DFT calculation with PBE was carried out for a geometry-optimized PmLuMgZn structure.

The structure in extended XYZ format:
```
4
Lattice="0.0000 3.6805 3.6805 3.6805 0.0000 3.6805 3.6805 3.6805 0.0000" Properties=species:S:1:pos:R:3 pbc="T T T"
Pm 0.0000 0.0000 0.0000
Lu 3.6805 3.6805 3.6805
Mg 1.8403 1.8403 1.8403
Zn 5.5208 5.5208 5.5208
```

Summary:
The value obtained for the formation energy is -16.2 kJ per mole of atoms. The space group is F-43m (216).

=====

A plane-wave DFT calculation with PBE was carried out for a geometry-optimized KAs2Au6 structure.

The structure in extended XYZ format:
```
9
Lattice="4.5578 0.0000 0.0000 0.0000 4.5578 0.0000 0.0000 0.0000 9.3399" Properties=species:S:1:pos:R:3 pbc="T T T"
K 0.0000 0.0000 0.0000
As 2.2789 2.2789 1.5802
As 2.2789 2.2789 7.7596
Au 0.0000 0.0000 4.6699
Au 0.0000 2.2789 2.8287
Au 0.0000 2.2789 6.5112
Au 2.2789 0.0000 2.8287
Au 2.2789 0.0000 6.5112
Au 2.2789 2.2789 4.6699
```

Summary:
The value obtained for the formation energy is -10.2 kJ per mole of atoms. The space group is P4/mmm (123).